Record 1
Compound: KIn2ReTc
Source: Alexandria
Functional: PBE
Structure: relaxed

Calculated values
space group	P4/mmm

Cell lengths 5.2763, 5.2763, 5.8102 Å; angles 90.00, 90.00, 90.00 degrees
With the nearest neighbours (Å) after each atom.
Fractional positions:
K 0.0000 0.0000 0.0000  2 Re 2.91
In 0.0000 0.5000 0.5000  2 Re 2.64
In 0.5000 0.0000 0.5000  2 Re 2.64
Re 0.0000 0.0000 0.5000  4 In 2.64, 2 K 2.91
Tc 0.5000 0.5000 0.0000  4 K 3.73, 8 In 3.92

=====

Record 2
Compound: Sr5ScBi5
Source: Alexandria
Functional: PBE
Structure: relaxed

Calculated values
space group	C2/m

Cell lengths 8.4708, 8.4708, 9.1686 Å; angles 106.69, 106.69, 46.18 degrees
With the nearest neighbours (Å) after each atom.
Fractional positions:
Sr 0.0000 0.0000 0.0000  4 Bi 3.27-3.35
Sr 0.3103 0.3103 0.1785  5 Bi 3.37-3.46
Sr 0.3285 0.3285 0.6567  5 Bi 3.35-3.45
Sr 0.6715 0.6715 0.3433  5 Bi 3.35-3.45
Sr 0.6897 0.6897 0.8215  5 Bi 3.37-3.46
Sc 0.0000 0.0000 0.5000  6 Bi 3.01-3.32
Bi 0.1450 0.1450 0.3460  1 Sc 3.01, 4 Sr 3.27-3.35
Bi 0.1541 0.1541 0.8144  1 Sc 3.12, 5 Sr 3.35-3.46
Bi 0.5000 0.5000 0.5000  2 Sc 3.32, 4 Sr 3.41-3.46
Bi 0.8459 0.8459 0.1856  1 Sc 3.12, 5 Sr 3.35-3.46
Bi 0.8550 0.8550 0.6540  1 Sc 3.01, 4 Sr 3.27-3.35

=====

Record 3
Compound: Li2ErMgAu4
Source: Alexandria
Functional: PBE
Structure: relaxed

Calculated values
space group	R-3m

Cell lengths 8.2559, 8.2559, 8.2559 Å; angles 32.87, 32.87, 32.87 degrees
With the nearest neighbours (Å) after each atom.
Fractional positions:
Li 0.2461 0.2461 0.2461  7 Au 2.79-2.85
Li 0.7539 0.7539 0.7539  7 Au 2.79-2.85
Er 0.0000 0.0000 0.0000  8 Au 2.94-2.97
Mg 0.5000 0.5000 0.5000  8 Au 2.74-2.85
Au 0.1268 0.1268 0.1268  4 Li 2.79-2.85, 3 Mg 2.85, 1 Er 2.97
Au 0.3831 0.3831 0.3831  1 Mg 2.74, 3 Li 2.84, 3 Er 2.94
Au 0.6169 0.6169 0.6169  1 Mg 2.74, 3 Li 2.84, 3 Er 2.94
Au 0.8732 0.8732 0.8732  4 Li 2.79-2.85, 3 Mg 2.85, 1 Er 2.97

=====

Record 4
Compound: Nd6ErTm2Th
Source: Alexandria
Functional: PBE
Structure: relaxed

Calculated values
space group	C2/c

Cell lengths 8.8808, 8.8808, 9.6201 Å; angles 93.67, 93.67, 116.06 degrees
With the nearest neighbours (Å) after each atom.
Fractional positions:
Nd 0.0057 0.5720 0.1890  1 Nd 3.32, 1 Th 3.43, 1 Er 3.44, 1 Tm 3.46
Nd 0.1107 0.7651 0.5586  7 Nd 3.48-3.80, 2 Tm 3.50-3.82, 2 Th 3.60-3.75
Nd 0.2349 0.8893 0.9414  7 Nd 3.48-3.80, 2 Tm 3.50-3.82, 2 Th 3.60-3.75
Nd 0.2960 0.5163 0.3829  3 Nd 3.28-3.48, 3 Tm 3.31-3.48, 2 Er 3.42-3.55
Nd 0.4280 0.9943 0.3110  1 Nd 3.32, 1 Th 3.43, 1 Er 3.44, 1 Tm 3.46
Nd 0.4837 0.7040 0.1171  3 Nd 3.28-3.48, 3 Tm 3.31-3.48, 2 Er 3.42-3.55
Nd 0.5163 0.2960 0.8829  3 Nd 3.28-3.48, 3 Tm 3.31-3.48, 2 Er 3.42-3.55
Nd 0.5720 0.0057 0.6890  1 Nd 3.32, 1 Th 3.43, 1 Er 3.44, 1 Tm 3.46
Nd 0.7040 0.4837 0.6171  3 Nd 3.28-3.48, 3 Tm 3.31-3.48, 2 Er 3.42-3.55
Nd 0.7651 0.1107 0.0586  7 Nd 3.48-3.80, 2 Tm 3.50-3.82, 2 Th 3.60-3.75
Nd 0.8893 0.2349 0.4414  7 Nd 3.48-3.80, 2 Tm 3.50-3.82, 2 Th 3.60-3.75
Nd 0.9943 0.4280 0.8110  1 Nd 3.32, 1 Th 3.43, 1 Er 3.44, 1 Tm 3.46
Er 0.4107 0.5893 0.7500  6 Nd 3.42-3.55, 2 Tm 3.50
Er 0.5893 0.4107 0.2500  6 Nd 3.42-3.55, 2 Tm 3.50
Tm 0.2028 0.2945 0.0521  5 Nd 3.31-3.50, 2 Th 3.40-3.51, 1 Er 3.50
Tm 0.2945 0.2028 0.5521  5 Nd 3.31-3.50, 2 Th 3.40-3.51, 1 Er 3.50
Tm 0.7055 0.7972 0.4479  5 Nd 3.31-3.50, 2 Th 3.40-3.51, 1 Er 3.50
Tm 0.7972 0.7055 0.9479  5 Nd 3.31-3.50, 2 Th 3.40-3.51, 1 Er 3.50
Th 0.0317 0.9683 0.2500  4 Tm 3.40-3.51, 6 Nd 3.43-3.75
Th 0.9683 0.0317 0.7500  4 Tm 3.40-3.51, 6 Nd 3.43-3.75

=====

Number 1: raw total energy -4.144 eV per atom, energy of formation from the pure elements 1.733 eV/atom. Number 2: raw total energy -3.759 eV per atom, energy of formation from the pure elements -0.654 eV/atom. Number 3: raw total energy -3.537 eV per atom, energy of formation from the pure elements -0.650 eV/atom. Number 4: raw total energy -4.811 eV per atom, energy of formation from the pure elements 0.142 eV/atom.